# Li4BeSi

Li4BeSi at its PBEsol-relaxed geometry (SCAN, Alexandria).

Its total energy is -88.299 eV for the cell shown. The value obtained for the formation energy without anion corrections is 0.31 eV per atom.

The space group is F-43m (No. 216) and the conventional cell measures 6.789, 6.789 and 6.789 Å, with angles of 90.00, 90.00 and 90.00 degrees. The distinct sites, in fractional coordinates, are Li at (0.124, 0.124, 0.124), Be at (0.000, 0.000, 0.500) and Si at (0.250, 0.250, 0.750).